1.
InCu2Ru | meta-GGA SCAN | PBEsol geometry

a = 2.781 Å, b = 2.781 Å, c = 8.773 Å
α = 80.88°, β = 80.88°, γ = 60.00°
Each line ends with the local moment (μB).
Element x y z (fractional)
Cu 0.255 0.255 0.236  0.05
Cu 0.745 0.745 0.764  0.05
In 0.500 0.500 0.500  0.00
Ru 0.000 0.000 0.000  0.93

- Energy relative to the elements: 0.41 eV/atom
- Space-group type: R-3m (166)

2.
LaCdFe2 | meta-GGA SCAN | PBEsol geometry

a = 3.019 Å, b = 3.019 Å, c = 9.430 Å
α = 80.79°, β = 80.79°, γ = 60.00°
Each line ends with the local moment (μB).
Element x y z (fractional)
Cd 0.265 0.265 0.206  -0.02
Fe 0.010 0.010 0.969  2.94
Fe 0.734 0.734 0.797  2.81
La 0.491 0.491 0.528  -0.04

- Energy relative to the elements: 0.38 eV/atom
- Space-group type: R3m (160)

3.
BeSn2OsBr | meta-GGA SCAN | PBEsol geometry

a = 4.392 Å, b = 4.859 Å, c = 4.859 Å
α = 90.00°, β = 90.00°, γ = 90.00°
Each line ends with the local moment (μB).
Element x y z (fractional)
Be 0.000 0.000 0.000  0.02
Os 0.500 0.500 0.500  1.85
Sn 0.000 0.000 0.500  -0.05
Sn 0.000 0.500 0.000  -0.05
Br 0.500 0.000 0.000  0.08

- Space-group type: P4/mmm (123)
- Calculated total energy: -161.0 eV for the cell shown

4.
Ga2HgTe4 | meta-GGA SCAN | PBEsol geometry

a = 7.377 Å, b = 8.516 Å, c = 14.088 Å
α = 89.83°, β = 79.38°, γ = 89.90°
Element x y z (fractional)
Te 0.567 0.750 0.810
Te 0.831 0.528 0.543
Te 0.290 0.264 0.582
Te 0.065 0.211 0.308
Te 0.519 0.002 0.302
Te 0.049 0.793 0.317
Te 0.325 0.997 0.083
Te 0.827 0.707 0.060
Te 0.301 0.494 0.046
Te 0.832 0.279 0.061
Te 0.083 0.499 0.839
Te 0.534 0.240 0.810
Te 0.088 0.026 0.799
Te 0.845 0.983 0.562
Te 0.284 0.741 0.561
Te 0.554 0.503 0.313
Hg 0.001 0.989 0.001
Hg 0.804 0.468 0.740
Hg 0.507 0.008 0.502
Hg 0.190 0.512 0.250
Ga 0.993 0.256 0.498
Ga 0.755 0.768 0.247
Ga 0.508 0.749 0.004
Ga 0.516 0.242 0.000
Ga 0.760 0.009 0.752
Ga 0.232 0.744 0.752
Ga 0.496 0.497 0.507
Ga 0.744 0.240 0.251

- Excess energy over the best structure of this formula in the dataset: 0.032 eV/atom
- Space-group type: P1 (1)

5.
TaW4 | meta-GGA SCAN | PBEsol geometry

a = 3.172 Å, b = 5.265 Å, c = 5.265 Å
α = 84.79°, β = 72.47°, γ = 72.47°
Element x y z (fractional)
W 0.601 0.202 0.596
W 0.803 0.596 0.798
W 0.399 0.798 0.404
W 0.197 0.404 0.202
Ta 0.000 0.000 0.000

- Excess energy over the best structure of this formula in the dataset: 0.000 eV/atom
- Energy relative to the elements: -0.08 eV/atom
- Space-group type: I4/m (87)

6.
Cu2TePt | meta-GGA SCAN | PBEsol geometry

a = 3.908 Å, b = 3.931 Å, c = 3.975 Å
α = 90.00°, β = 90.00°, γ = 90.00°
Element x y z (fractional)
Cu 0.875 0.000 0.875
Cu 0.875 0.500 0.375
Pt 0.375 0.000 0.375
Te 0.375 0.500 0.875

- Space-group type: Pmmm (47)
- Calculated total energy: -137.7 eV for the cell shown

7.
Ca2NiOsO6 | meta-GGA SCAN | PBEsol geometry

a = 5.290 Å, b = 5.547 Å, c = 7.532 Å
α = 90.00°, β = 89.59°, γ = 90.00°
Each line ends with the local moment (μB).
Element x y z (fractional)
Ca 0.983 0.938 0.749  -0.01
Ca 0.517 0.438 0.751  -0.01
Ca 0.017 0.062 0.251  -0.01
Ca 0.483 0.562 0.249  -0.01
Ni 0.500 0.000 0.000  1.57
Ni 0.000 0.500 0.500  1.57
Os 0.500 0.000 0.500  -1.14
Os 0.000 0.500 0.000  -1.14
O 0.687 0.707 0.551  -0.05
O 0.813 0.207 0.949  -0.05
O 0.313 0.293 0.449  -0.05
O 0.187 0.793 0.051  -0.05
O 0.204 0.806 0.452  -0.05
O 0.296 0.306 0.048  -0.05
O 0.796 0.194 0.548  -0.05
O 0.704 0.694 0.952  -0.05
O 0.097 0.531 0.754  -0.02
O 0.403 0.031 0.746  -0.02
O 0.597 0.969 0.254  -0.02
O 0.903 0.469 0.246  -0.02

- Space-group type: P2_1/c (14)
- Calculated total energy: -331.5 eV for the cell shown

8.
Sr2SbMo | meta-GGA SCAN | PBEsol geometry

a = 3.630 Å, b = 3.630 Å, c = 9.080 Å
α = 90.00°, β = 90.00°, γ = 90.00°
Each line ends with the local moment (μB).
Element x y z (fractional)
Mo 0.000 0.000 0.567  0.76
Sb 0.500 0.500 0.684  -0.03
Sr 0.000 0.000 0.926  0.00
Sr 0.500 0.500 0.323  -0.02

- Space-group type: P4mm (99)
- Calculated total energy: -116.3 eV for the cell shown

9.
CdTcO3 | meta-GGA SCAN | PBEsol geometry

a = 4.055 Å, b = 4.055 Å, c = 4.055 Å
α = 90.00°, β = 90.00°, γ = 90.00°
Each line ends with the local moment (μB).
Element x y z (fractional)
Tc 0.500 0.500 0.500  4.27
O 0.000 0.500 0.000  0.06
O 0.000 0.000 0.500  0.06
O 0.500 0.000 0.000  0.06
Cd 0.000 0.000 0.000  0.01

- Space-group type: Pm-3m (221)
- Calculated total energy: -82.5 eV for the cell shown

10.
K2Se4O | meta-GGA SCAN | PBEsol geometry

a = 6.162 Å, b = 6.162 Å, c = 10.261 Å
α = 89.07°, β = 89.07°, γ = 86.86°
Element x y z (fractional)
K 0.437 0.833 0.329
K 0.833 0.437 0.829
K 0.455 0.976 0.940
K 0.976 0.455 0.440
Se 0.504 0.330 0.203
Se 0.330 0.504 0.703
Se 0.887 0.262 0.140
Se 0.262 0.887 0.640
Se 0.485 0.321 0.437
Se 0.321 0.485 0.937
Se 0.960 0.882 0.136
Se 0.882 0.960 0.636
O 0.011 0.794 0.294
O 0.794 0.011 0.794

- Space-group type: Cc (9)
- Calculated total energy: -218.0 eV for the cell shown

11.
Nd2CuIr | meta-GGA SCAN | PBEsol geometry

a = 4.954 Å, b = 4.954 Å, c = 4.954 Å
α = 60.00°, β = 60.00°, γ = 60.00°
Element x y z (fractional)
Ir 0.000 0.000 0.000
Nd 0.250 0.250 0.250
Nd 0.750 0.750 0.750
Cu 0.500 0.500 0.500

- Energy relative to the elements: -0.52 eV/atom
- Space-group type: Fm-3m (225)

12.
Ni2AsAu | meta-GGA SCAN | PBEsol geometry

a = 2.885 Å, b = 4.112 Å, c = 4.521 Å
α = 90.00°, β = 90.00°, γ = 90.00°
Element x y z (fractional)
As 0.500 0.000 0.605
Au 0.500 0.500 0.189
Ni 0.000 0.000 0.018
Ni 0.000 0.500 0.689

- Excess energy over the best structure of this formula in the dataset: 0.000 eV/atom
- Energy relative to the elements: 0.00 eV/atom
- Space-group type: Pmm2 (25)

Copy entry 9 word for word.
CdTcO3 | meta-GGA SCAN | PBEsol geometry

a = 4.055 Å, b = 4.055 Å, c = 4.055 Å
α = 90.00°, β = 90.00°, γ = 90.00°
Each line ends with the local moment (μB).
Element x y z (fractional)
Tc 0.500 0.500 0.500  4.27
O 0.000 0.500 0.000  0.06
O 0.000 0.000 0.500  0.06
O 0.500 0.000 0.000  0.06
Cd 0.000 0.000 0.000  0.01

- Space-group type: Pm-3m (221)
- Calculated total energy: -82.5 eV for the cell shown

What did the tenth record say?
K2Se4O | meta-GGA SCAN | PBEsol geometry

a = 6.162 Å, b = 6.162 Å, c = 10.261 Å
α = 89.07°, β = 89.07°, γ = 86.86°
Element x y z (fractional)
K 0.437 0.833 0.329
K 0.833 0.437 0.829
K 0.455 0.976 0.940
K 0.976 0.455 0.440
Se 0.504 0.330 0.203
Se 0.330 0.504 0.703
Se 0.887 0.262 0.140
Se 0.262 0.887 0.640
Se 0.485 0.321 0.437
Se 0.321 0.485 0.937
Se 0.960 0.882 0.136
Se 0.882 0.960 0.636
O 0.011 0.794 0.294
O 0.794 0.011 0.794

- Space-group type: Cc (9)
- Calculated total energy: -218.0 eV for the cell shown